KMgMoPd | PBE | relaxed

As for the crystal system: monoclinic. As for the calculated formation energy: 0.586 eV/atom. The calculation puts the density of states at the Fermi level at 2.43 states/eV/f.u. The total magnetic moment comes out at 1.65 μB/f.u.

It has space group Cm (No. 8), with a = 9.641 Å, b = 2.824 Å, c = 7.024 Å, α = 90.00°, β = 95.52° and γ = 90.00°. Symmetry generates all atoms from K at (0.000, 0.000, 0.000), Mg at (0.012, 0.500, 0.516), Mo at (0.271, 0.500, 0.354) and Pd at (0.242, 0.000, 0.672).

=====

KMgMoPd | PBE | relaxed

As for the crystal system: tetragonal. As for the calculated formation energy: 0.332 eV/atom. The calculation puts the density of states at the Fermi level at 3.93 states/eV/f.u. The total magnetic moment comes out at 0.00 μB/f.u.

It has space group P4mm (No. 99), with a = 3.064 Å, b = 3.064 Å, c = 9.543 Å, α = 90.00°, β = 90.00° and γ = 90.00°. Symmetry generates all atoms from K at (0.000, 0.000, 0.000), Mg at (0.500, 0.500, 0.361), Mo at (0.000, 0.000, 0.567) and Pd at (0.500, 0.500, 0.731).

=====

KMgMoPd | PBE | relaxed

As for the crystal system: triclinic. As for the calculated formation energy: 0.521 eV/atom. The calculation puts the density of states at the Fermi level at 3.67 states/eV/f.u. The total magnetic moment comes out at 0.00 μB/f.u.

It has space group P1 (No. 1), with a = 2.816 Å, b = 4.644 Å, c = 7.936 Å, α = 91.97°, β = 93.31° and γ = 106.52°. Symmetry generates all atoms from K at (0.000, 0.000, 0.000), Mg at (0.687, 0.538, 0.367), Mo at (0.196, 0.470, 0.673) and Pd at (0.449, 0.989, 0.563).

=====

KMgMoPd | PBE | relaxed

As for the crystal system: orthorhombic. As for the calculated formation energy: 0.365 eV/atom. The calculation puts the density of states at the Fermi level at 2.48 states/eV/f.u. The total magnetic moment comes out at 0.00 μB/f.u.

It has space group Pmm2 (No. 25), with a = 2.874 Å, b = 3.953 Å, c = 8.210 Å, α = 90.00°, β = 90.00° and γ = 90.00°. Symmetry generates all atoms from K at (0.000, 0.000, 0.000), Mg at (0.500, 0.500, 0.638), Mo at (0.000, 0.000, 0.436) and Pd at (0.500, 0.500, 0.300).